# 1
Crystalline AlP2Br at its relaxed geometry. Source: Alexandria via LeMat-Bulk, functional PBE.

Results
Crystal system: cubic
Relative energy among the computed polymorphs, meV per atom: 749.3
E_form (uncorrected), eV per formula unit: 2.4
Calculated volume, Å³ per atom: 17.58

Geometry as POSCAR:
```
AlP2Br
1.0
-0.521 3.095 -3.408
-3.584 -0.346 -2.915
-3.445 3.093 0.186
Al Br P
1 1 2
Direct
0.500 0.500 0.500
0.250 0.250 0.250
0.750 0.750 0.750
0.000 0.000 0.000
```

***

# 2
Crystalline AlPBr2 at its relaxed geometry. Source: Alexandria via LeMat-Bulk, functional PBE.

Results
Crystal system: orthorhombic
Relative energy among the computed polymorphs, meV per atom: 882.0
E_form (uncorrected), eV per formula unit: 1.2
Calculated volume, Å³ per atom: 24.32

Geometry as POSCAR:
```
AlPBr2
1.0
4.134 0.000 0.000
0.000 4.864 -0.012
0.000 0.486 4.836
Br P Al
2 1 1
Direct
0.000 0.999 0.999
0.000 0.501 0.501
0.500 0.250 0.250
0.500 0.750 0.750
```

***

# 3
Crystalline AlPBr2 at its relaxed geometry. Source: Alexandria via LeMat-Bulk, functional PBE.

Results
Crystal system: tetragonal
Relative energy among the computed polymorphs, meV per atom: 1063.2
E_form (uncorrected), eV per formula unit: 1.9
Calculated volume, Å³ per atom: 24.45

Geometry as POSCAR:
```
AlPBr2
1.0
-2.562 -0.575 -1.935
-0.592 -2.775 1.608
-5.440 4.551 5.849
Br Al P
2 1 1
Direct
0.000 0.000 0.931
0.000 0.000 0.569
0.500 0.500 0.750
0.500 0.500 0.250
```

***

# 4
Crystalline AlP2Br at its relaxed geometry. Source: Alexandria via LeMat-Bulk, functional PBE.

Results
Crystal system: tetragonal
Relative energy among the computed polymorphs, meV per atom: 458.8
E_form (uncorrected), eV per formula unit: 1.2
Calculated volume, Å³ per atom: 18.87

Geometry as POSCAR:
```
AlP2Br
1.0
4.612 -0.005 0.003
-1.562 4.339 0.003
1.518 2.156 3.777
Al Br P
1 1 2
Direct
0.500 0.000 0.500
0.000 0.500 0.500
0.000 0.000 0.000
0.500 0.500 0.000
```

***

# 5
Crystalline AlP2Br at its relaxed geometry. Source: Alexandria via LeMat-Bulk, functional PBE.

Results
Crystal system: monoclinic
Relative energy among the computed polymorphs, meV per atom: 9.5
E_form (uncorrected), eV per formula unit: -0.5
Calculated volume, Å³ per atom: 21.84

Geometry as POSCAR:
```
AlP2Br
1.0
3.847 0.000 0.000
0.000 4.456 0.061
0.000 2.744 5.134
Al P Br
1 2 1
Direct
0.500 0.250 0.250
0.000 0.489 0.383
0.000 0.011 0.117
0.500 0.750 0.750
```

***

# 6
Crystalline AlP2Br at its relaxed geometry. Source: Alexandria via LeMat-Bulk, functional PBE.

Results
Crystal system: trigonal
Relative energy among the computed polymorphs, meV per atom: 0.0
E_form (uncorrected), eV per formula unit: -0.6
Calculated volume, Å³ per atom: 23.18

Geometry as POSCAR:
```
AlP2Br
1.0
-5.662 2.101 5.939
-4.822 -1.293 6.842
-2.703 1.434 7.898
P Al Br
2 1 1
Direct
0.245 0.245 0.245
0.958 0.958 0.958
0.516 0.516 0.516
0.781 0.781 0.781
```